(1)
SmDy2F11 (GGA-PBE, relaxed); E_tot = -5.91 eV per atom; E_form (uncorrected) = -3.4498 eV per atom; space-group type = Ibam (72); ρ = 4.6 Mg/m³
1.0
-4.200 5.143 5.682
4.200 -5.143 5.682
4.200 5.143 -5.682
Sm Dy F
2 4 22
direct
0.250 0.250 0.000 Sm
0.750 0.750 0.000 Sm
0.189 0.658 0.847 Dy
0.311 0.158 0.469 Dy
0.689 0.842 0.531 Dy
0.811 0.342 0.153 Dy
0.000 0.500 0.500 F
0.031 0.963 0.277 F
0.055 0.341 0.132 F
0.186 0.463 0.932 F
0.195 0.391 0.586 F
0.209 0.923 0.868 F
0.291 0.159 0.714 F
0.305 0.891 0.196 F
0.314 0.245 0.277 F
0.445 0.577 0.286 F
0.469 0.745 0.932 F
0.500 0.000 0.500 F
0.531 0.255 0.068 F
0.555 0.423 0.714 F
0.686 0.755 0.723 F
0.695 0.109 0.804 F
0.709 0.841 0.286 F
0.791 0.077 0.132 F
0.805 0.609 0.414 F
0.814 0.537 0.068 F
0.945 0.659 0.868 F
0.969 0.037 0.723 F

=====

(2)
LiGaP4O12 (GGA-PBE, relaxed); E_tot = -6.93 eV per atom; E_form (uncorrected) = -2.1512 eV per atom; space-group type = Pbcn (60); ρ = 2.7 Mg/m³
1.0
12.664 0.000 0.000
0.000 8.398 0.000
0.000 0.000 9.226
Li Ga P O
4 4 16 48
direct
0.000 0.003 0.250 Li
0.000 0.997 0.750 Li
0.500 0.497 0.750 Li
0.500 0.503 0.250 Li
0.000 0.371 0.250 Ga
0.000 0.629 0.750 Ga
0.500 0.129 0.750 Ga
0.500 0.871 0.250 Ga
0.137 0.181 0.006 P
0.137 0.819 0.506 P
0.150 0.465 0.511 P
0.150 0.535 0.011 P
0.350 0.035 0.011 P
0.350 0.965 0.511 P
0.363 0.319 0.506 P
0.363 0.681 0.006 P
0.637 0.319 0.994 P
0.637 0.681 0.494 P
0.650 0.035 0.489 P
0.650 0.965 0.989 P
0.850 0.465 0.989 P
0.850 0.535 0.489 P
0.863 0.181 0.494 P
0.863 0.819 0.994 P
0.062 0.193 0.135 O
0.062 0.807 0.635 O
0.069 0.464 0.630 O
0.069 0.536 0.130 O
0.102 0.096 0.874 O
0.102 0.904 0.374 O
0.125 0.370 0.376 O
0.125 0.630 0.876 O
0.180 0.356 0.965 O
0.180 0.644 0.465 O
0.242 0.101 0.077 O
0.242 0.899 0.577 O
0.258 0.399 0.577 O
0.258 0.601 0.077 O
0.320 0.144 0.465 O
0.320 0.856 0.965 O
0.375 0.130 0.876 O
0.375 0.870 0.376 O
0.398 0.404 0.374 O
0.398 0.596 0.874 O
0.431 0.036 0.130 O
0.431 0.964 0.630 O
0.438 0.307 0.635 O
0.438 0.693 0.135 O
0.562 0.307 0.865 O
0.562 0.693 0.365 O
0.569 0.036 0.370 O
0.569 0.964 0.870 O
0.602 0.404 0.126 O
0.602 0.596 0.626 O
0.625 0.130 0.624 O
0.625 0.870 0.124 O
0.680 0.144 0.035 O
0.680 0.856 0.535 O
0.742 0.399 0.923 O
0.742 0.601 0.423 O
0.758 0.101 0.423 O
0.758 0.899 0.923 O
0.820 0.356 0.535 O
0.820 0.644 0.035 O
0.875 0.370 0.124 O
0.875 0.630 0.624 O
0.898 0.096 0.626 O
0.898 0.904 0.126 O
0.931 0.464 0.870 O
0.931 0.536 0.370 O
0.938 0.193 0.365 O
0.938 0.807 0.865 O

=====

(3)
NbV2Pt (GGA-PBE, relaxed); relative energy among the computed polymorphs = 21.2 meV/atom; E_tot = -8.86 eV per atom; space-group type = Fm-3m (225); ρ = 10.8 Mg/m³
1.0
0.000 3.106 3.106
3.106 0.000 3.106
3.106 3.106 0.000
Nb V Pt
1 2 1
direct
0.000 0.000 0.000 Nb
0.250 0.250 0.250 V
0.750 0.750 0.750 V
0.500 0.500 0.500 Pt